Compound: LiSc2Tl
Source: the Alexandria database
Functional: PBE
Structure: optimized geometry

Structure (POSCAR):
```
LiSc2Tl
1.0
4.993 0.000 0.000
2.497 4.324 0.000
2.497 1.441 4.077
Tl Sc Li
1 2 1
direct
0.750 0.750 0.750
0.250 0.250 0.250
0.000 0.000 0.000
0.500 0.500 0.500
```

ΔH_f (0 K): 11 meV/atom

***

Compound: BaY2Cd2
Source: the Alexandria database
Functional: PBE
Structure: optimized geometry

Structure (POSCAR):
```
BaY2Cd2
1.0
-0.545 4.458 2.653
-3.116 1.851 -3.751
-6.894 0.741 2.466
Cd Y Ba
2 2 1
direct
0.390 0.390 0.221
0.610 0.610 0.779
0.250 0.750 0.500
0.750 0.250 0.500
0.000 0.000 0.000
```

ΔE to the lowest computed polymorph: 73.8 meV/atom
ΔH_f (0 K): -86 meV/atom

***

Compound: Ce2TmScTe4
Source: the Alexandria database
Functional: PBE
Structure: optimized geometry

Structure (POSCAR):
```
Ce2TmScTe4
1.0
-0.477 -1.188 4.106
6.402 -3.844 -0.368
1.571 7.204 2.266
Te Tm Ce Sc
4 1 2 1
direct
0.500 0.762 0.772
0.000 0.749 0.231
0.000 0.251 0.769
0.500 0.238 0.228
0.500 0.500 0.000
0.500 0.000 0.500
0.000 0.500 0.500
0.000 0.000 0.000
```

Formation energy without anion corrections: -1259 meV/atom

***

Compound: Ho12Tl5Ag2
Source: the Alexandria database
Functional: PBE
Structure: optimized geometry

Structure (POSCAR):
```
Ho12Tl5Ag2
1.0
-4.157 -2.941 5.112
2.766 -6.127 -6.368
7.365 -2.708 4.431
Ho Tl Ag
12 5 2
direct
0.108 0.701 0.510
0.504 0.008 0.307
0.042 0.084 0.814
0.958 0.916 0.186
0.594 0.701 0.510
0.600 0.684 0.920
0.496 0.992 0.693
0.400 0.316 0.080
0.406 0.299 0.490
0.892 0.299 0.490
0.916 0.316 0.080
0.084 0.684 0.920
0.771 0.542 0.252
0.000 0.000 0.500
0.300 0.601 0.236
0.700 0.399 0.764
0.229 0.458 0.748
0.682 0.000 0.000
0.318 0.000 0.000
```

ΔH_f (0 K): -118 meV/atom

***

Compound: KInIrCl
Source: the Alexandria database
Functional: PBE
Structure: optimized geometry

Structure (POSCAR):
```
KInIrCl
1.0
3.346 0.000 -0.001
0.000 4.208 0.000
-0.167 0.000 14.589
In Ir Cl K
2 2 2 2
direct
0.290 0.000 0.892
0.290 0.500 0.392
0.792 0.000 0.411
0.792 0.500 0.911
0.799 0.000 0.584
0.799 0.500 0.084
0.304 0.500 0.678
0.304 0.000 0.178
```

Formation energy without anion corrections: -363 meV/atom
ΔE to the lowest computed polymorph: 53.0 meV/atom

***

Compound: PuHf2Sc
Source: the Alexandria database
Functional: PBE
Structure: optimized geometry

Structure (POSCAR):
```
PuHf2Sc
1.0
4.490 0.000 0.000
0.000 4.533 0.000
0.000 0.000 4.533
Sc Pu Hf
1 1 2
direct
0.500 0.500 0.500
0.500 0.000 0.000
0.000 0.000 0.500
0.000 0.500 0.000
```

ΔE to the lowest computed polymorph: 29.4 meV/atom
ΔH_f (0 K): 106 meV/atom